--- A ---
A crystal of KIrPt2 relaxed with PBEsol, computed with meta-GGA SCAN.

Unit cell a=5.0467 b=5.0467 c=2.7060 alpha=90.00 beta=90.00 gamma=109.27
Element x y z (fractional)
K (0.0000, 0.0000, 0.0000)
Ir (0.5000, 0.5000, 0.0000)
Pt (0.0000, 0.5000, 0.5000)
Pt (0.5000, 0.0000, 0.5000)

Output
The calculation puts the volume at 65.1 Å³/f.u. For the total magnetization, the calculation gives 0.0 μB/f.u. The density of states at the Fermi level comes out at 2.25 states/eV/f.u. Its symmetry is Cmmm.



--- B ---
A crystal of KIrPt2 relaxed with PBEsol, computed with meta-GGA SCAN.

Unit cell a=4.5009 b=4.5009 c=6.9494 alpha=94.70 beta=94.70 gamma=34.86
Element x y z (fractional)
K (0.0000, 0.0000, 0.0000)
Ir (0.5000, 0.5000, 0.5000)
Pt (0.2396, 0.2396, 0.6690)
Pt (0.7604, 0.7604, 0.3310)

Output
The calculation puts the volume at 80.2 Å³/f.u. For the total magnetization, the calculation gives 0.7 μB/f.u. The density of states at the Fermi level comes out at 3.04 states/eV/f.u. Its symmetry is C2/m.



Sorted by energy, starting with the most stable: B, A.



--- A ---
A crystal of KIrRh2 relaxed with PBEsol, computed with meta-GGA SCAN.

Unit cell a=2.6598 b=4.2012 c=6.9220 alpha=90.00 beta=100.98 gamma=90.00
Element x y z (fractional)
K (0.0000, 0.0000, 0.0000)
Ir (0.3237, 0.5000, 0.6450)
Rh (0.6598, 0.5000, 0.3135)
Rh (0.7657, 0.0000, 0.5281)

Output
The calculation puts the volume at 75.9 Å³/f.u. For the total magnetization, the calculation gives 0.6 μB/f.u. The density of states at the Fermi level comes out at 4.44 states/eV/f.u. Its symmetry is Pm.



--- B ---
A crystal of KIrRh2 relaxed with PBEsol, computed with meta-GGA SCAN.

Unit cell a=2.7103 b=2.7103 c=9.9865 alpha=90.00 beta=90.00 gamma=118.96
Element x y z (fractional)
K (0.0000, 0.0000, 0.0000)
Ir (0.5000, 0.5000, 0.7193)
Rh (0.0000, 0.0000, 0.4964)
Rh (0.5000, 0.5000, 0.2761)

Output
The calculation puts the volume at 64.2 Å³/f.u. For the total magnetization, the calculation gives 0.0 μB/f.u. The density of states at the Fermi level comes out at 4.60 states/eV/f.u. Its symmetry is Cmm2.



--- C ---
A crystal of KIrRh2 relaxed with PBEsol, computed with meta-GGA SCAN.

Unit cell a=4.8145 b=4.8145 c=2.7233 alpha=90.00 beta=90.00 gamma=90.00
Element x y z (fractional)
K (0.0000, 0.0000, 0.0000)
Ir (0.5000, 0.5000, 0.0000)
Rh (0.0000, 0.5000, 0.5000)
Rh (0.5000, 0.0000, 0.5000)

Output
The calculation puts the volume at 63.1 Å³/f.u. For the total magnetization, the calculation gives 1.7 μB/f.u. The density of states at the Fermi level comes out at 3.69 states/eV/f.u. Its symmetry is P4/mmm.



Sorted by energy, starting with the most stable: A, B, C.



--- A ---
A crystal of KIrRu2 relaxed with PBEsol, computed with meta-GGA SCAN.

Unit cell a=4.5876 b=4.5876 c=4.5876 alpha=124.80 beta=124.80 gamma=81.87
Element x y z (fractional)
K (0.0000, 0.0000, 0.0000)
Ir (0.2500, 0.7500, 0.5000)
Ru (0.5000, 0.5000, 0.0000)
Ru (0.7500, 0.2500, 0.5000)

Output
The calculation puts the volume at 62.6 Å³/f.u. For the total magnetization, the calculation gives 0.0 μB/f.u. The density of states at the Fermi level comes out at 5.64 states/eV/f.u. Its symmetry is I-4m2.



--- B ---
A crystal of KIrRu2 relaxed with PBEsol, computed with meta-GGA SCAN.

Unit cell a=3.0764 b=3.0764 c=8.0467 alpha=90.00 beta=90.00 gamma=90.00
Element x y z (fractional)
K (0.0000, 0.0000, 0.0000)
Ir (0.0000, 0.0000, 0.5000)
Ru (0.5000, 0.5000, 0.3315)
Ru (0.5000, 0.5000, 0.6685)

Output
The calculation puts the volume at 76.2 Å³/f.u. For the total magnetization, the calculation gives 1.9 μB/f.u. The density of states at the Fermi level comes out at 2.45 states/eV/f.u. Its symmetry is P4/mmm.



--- C ---
A crystal of KIrRu2 relaxed with PBEsol, computed with meta-GGA SCAN.

Unit cell a=2.6923 b=2.6923 c=10.0542 alpha=90.00 beta=90.00 gamma=118.18
Element x y z (fractional)
K (0.0000, 0.0000, 0.0000)
Ir (0.5000, 0.5000, 0.7241)
Ru (0.0000, 0.0000, 0.4990)
Ru (0.5000, 0.5000, 0.2858)

Output
The calculation puts the volume at 64.2 Å³/f.u. For the total magnetization, the calculation gives 1.6 μB/f.u. The density of states at the Fermi level comes out at 3.47 states/eV/f.u. Its symmetry is Cmm2.



Sorted by energy, starting with the most stable: C, B, A.



--- A ---
A crystal of KSb2Ir relaxed with PBEsol, computed with meta-GGA SCAN.

Unit cell a=6.3854 b=6.3854 c=6.3854 alpha=151.71 beta=124.21 gamma=63.72
Element x y z (fractional)
K (0.0000, 0.0000, 0.0000)
Sb (0.3051, 0.8051, 0.5000)
Sb (0.6949, 0.1949, 0.5000)
Ir (0.5000, 0.5000, 0.0000)

Output
The calculation puts the volume at 101.1 Å³/f.u. For the total magnetization, the calculation gives 0.0 μB/f.u. The density of states at the Fermi level comes out at 0.91 states/eV/f.u. Its symmetry is Immm.



--- B ---
A crystal of KSb2Ir relaxed with PBEsol, computed with meta-GGA SCAN.

Unit cell a=7.4982 b=7.4982 c=7.4982 alpha=32.74 beta=32.74 gamma=32.74
Element x y z (fractional)
K (0.0000, 0.0000, 0.0000)
Sb (0.2174, 0.2174, 0.2174)
Sb (0.7826, 0.7826, 0.7826)
Ir (0.5000, 0.5000, 0.5000)

Output
The calculation puts the volume at 109.7 Å³/f.u. For the total magnetization, the calculation gives 0.0 μB/f.u. The density of states at the Fermi level comes out at 2.18 states/eV/f.u. Its symmetry is R-3m.



Sorted by energy, starting with the most stable: B, A.